The following is a PBE calculation of crystalline Cs2TlCrBr6 at its relaxed geometry, from the Alexandria database.

```
data_Cs2TlCrBr6
_chemical_formula_sum 'Cs2 Tl1 Cr1 Br6'
_cell_length_a 8.077
_cell_length_b 8.077
_cell_length_c 8.077
_cell_angle_alpha 60.00
_cell_angle_beta 60.00
_cell_angle_gamma 60.00
_symmetry_space_group_name_H-M 'P 1'
_symmetry_Int_Tables_number 1
loop_
_symmetry_equiv_pos_as_xyz
'x,y,z'
loop_
_atom_site_label
_atom_site_type_symbol
_atom_site_fract_x
_atom_site_fract_y
_atom_site_fract_z
_atom_site_occupancy
Cs1 Cs 0.250 0.250 0.250 1
Cs2 Cs 0.750 0.750 0.750 1
Tl1 Tl 0.000 0.000 0.000 1
Cr1 Cr 0.500 0.500 0.500 1
Br1 Br 0.278 0.278 0.722 1
Br2 Br 0.278 0.722 0.278 1
Br3 Br 0.278 0.722 0.722 1
Br4 Br 0.722 0.278 0.278 1
Br5 Br 0.722 0.278 0.722 1
Br6 Br 0.722 0.722 0.278 1
```

## Properties
* space-group type: Fm-3m, No. 225
* E_form (uncorrected): -1.217 eV per atom
* E_tot: -3.591 eV/atom
* size of the total moment: 0.3000 μB per atom
* Fermi-level density of states: 0.00 states/eV/cell